DFT (PBE) results for a relaxed Th2PSe2 crystal.

Computed properties:
- energy relative to the lowest polymorph listed for this composition (eV/atom) = 1.905
- space-group type = P4/mmm, No. 123
- formation energy from raw total energies (eV/atom) = 0.324
- energy (eV/atom) = -5.120
- total moment (μB per formula unit) = 0.000
- crystal system = tetragonal

a b c (Å): 3.2181 3.2181 16.0101
angles (deg): 90.00 90.00 90.00
With the nearest neighbours (Å) after each atom.
Atoms (fractional coordinates):
Se  0.5000  0.5000  0.3559  1 Th 2.87
Se  0.5000  0.5000  0.6441  1 Th 2.87
P  0.5000  0.5000  0.0000  2 Th 2.83
Th  0.5000  0.5000  0.1765  1 P 2.83, 1 Se 2.87
Th  0.5000  0.5000  0.8235  1 P 2.83, 1 Se 2.87


DFT (PBE) results for a relaxed Th6PSe5 crystal.

Computed properties:
- space-group type = C2/m, No. 12
- formation energy from raw total energies (eV/atom) = -1.568
- energy (eV/atom) = -7.181
- total moment (μB per formula unit) = 0.000
- crystal system = monoclinic

a b c (Å): 7.2401 7.2962 7.2715
angles (deg): 59.89 80.39 70.56
With the nearest neighbours (Å) after each atom.
Atoms (fractional coordinates):
Se  0.5000  0.8278  0.3444  6 Th 2.97-3.03
Se  0.0000  0.3349  0.3301  6 Th 2.97-2.98
Se  0.0000  0.6651  0.6699  6 Th 2.97-2.98
Se  0.5000  0.5000  0.0000  6 Th 2.97-3.06
Se  0.5000  0.1722  0.6556  6 Th 2.97-3.03
Th  0.2409  0.9203  0.6784  1 P 2.86, 5 Se 2.97-3.03
Th  0.7533  0.7620  0.0000  1 P 2.88, 5 Se 2.98-3.06
Th  0.2409  0.5987  0.3216  1 P 2.86, 5 Se 2.97-3.03
Th  0.2467  0.2380  0.0000  1 P 2.88, 5 Se 2.98-3.06
Th  0.7591  0.4013  0.6784  1 P 2.86, 5 Se 2.97-3.03
Th  0.7591  0.0797  0.3216  1 P 2.86, 5 Se 2.97-3.03
P  0.0000  0.0000  0.0000  6 Th 2.86-2.88


DFT (PBE) results for a relaxed Th4PSe4 crystal.

Computed properties:
- energy relative to the lowest polymorph listed for this composition (eV/atom) = 0.550
- space-group type = I-42m, No. 121
- formation energy from raw total energies (eV/atom) = -1.112
- energy (eV/atom) = -6.559
- total moment (μB per formula unit) = 0.014
- crystal system = tetragonal

a b c (Å): 7.0125 7.0125 7.6889
angles (deg): 117.13 117.13 90.00
With the nearest neighbours (Å) after each atom.
Atoms (fractional coordinates):
Se  0.3253  0.3253  0.6505  4 Th 2.87-3.01
Se  0.5000  0.0000  0.0000  4 Th 3.02
Se  0.0000  0.5000  0.0000  4 Th 3.02
Se  0.6747  0.6747  0.3495  4 Th 2.87-3.01
Th  0.9299  0.3559  0.2858  1 P 2.70, 4 Se 2.87-3.02
Th  0.3559  0.9299  0.2858  1 P 2.70, 4 Se 2.87-3.02
Th  0.0701  0.0701  0.7142  1 P 2.70, 4 Se 2.87-3.02
Th  0.6441  0.6441  0.7142  1 P 2.70, 4 Se 2.87-3.02
P  0.0000  0.0000  0.0000  4 Th 2.70


DFT (PBE) results for a relaxed Th3P2Se2 crystal.

Computed properties:
- space-group type = P-1, No. 2
- formation energy from raw total energies (eV/atom) = -1.508
- energy (eV/atom) = -7.229
- total moment (μB per formula unit) = 0.000
- crystal system = triclinic

a b c (Å): 4.1420 7.1592 7.3785
angles (deg): 99.99 90.01 106.88
With the nearest neighbours (Å) after each atom.
Atoms (fractional coordinates):
Th  0.0000  0.0000  0.0000  4 P 2.90, 2 Se 2.98
Th  0.7602  0.5208  0.2422  3 P 2.87-2.92, 3 Se 2.98-3.02
Th  0.2398  0.4792  0.7578  3 P 2.87-2.92, 3 Se 2.98-3.02
Se  0.1276  0.2567  0.3720  4 Th 2.98-3.02
Se  0.8724  0.7433  0.6280  4 Th 2.98-3.02
P  0.6251  0.2501  0.8884  5 Th 2.87-2.92
P  0.3749  0.7499  0.1116  5 Th 2.87-2.92


Number 4 is which compound? Th3P2Se2


Copy entry 3 word for word.
DFT (PBE) results for a relaxed Th4PSe4 crystal.

Computed properties:
- energy relative to the lowest polymorph listed for this composition (eV/atom) = 0.550
- space-group type = I-42m, No. 121
- formation energy from raw total energies (eV/atom) = -1.112
- energy (eV/atom) = -6.559
- total moment (μB per formula unit) = 0.014
- crystal system = tetragonal

a b c (Å): 7.0125 7.0125 7.6889
angles (deg): 117.13 117.13 90.00
With the nearest neighbours (Å) after each atom.
Atoms (fractional coordinates):
Se  0.3253  0.3253  0.6505  4 Th 2.87-3.01
Se  0.5000  0.0000  0.0000  4 Th 3.02
Se  0.0000  0.5000  0.0000  4 Th 3.02
Se  0.6747  0.6747  0.3495  4 Th 2.87-3.01
Th  0.9299  0.3559  0.2858  1 P 2.70, 4 Se 2.87-3.02
Th  0.3559  0.9299  0.2858  1 P 2.70, 4 Se 2.87-3.02
Th  0.0701  0.0701  0.7142  1 P 2.70, 4 Se 2.87-3.02
Th  0.6441  0.6441  0.7142  1 P 2.70, 4 Se 2.87-3.02
P  0.0000  0.0000  0.0000  4 Th 2.70